Entry 1:
The following is a DFT calculation (PBE-GGA) of KTl4Ge3Br12 after structural relaxation.

Cell: 9.6899 9.6899 9.6899 Å, 109.47 109.47 109.47°
With the nearest neighbours (Å) after each atom.
Element x y z (fractional)
Br 0.7341 0.7341 0.0000  1 Ge 2.62
Br 0.7500 0.2500 0.5000  2 Ge 2.80
Br 0.5000 0.2500 0.7500  2 Ge 2.80
Br 0.5000 0.7500 0.2500  2 Ge 2.80
Br 0.7500 0.5000 0.2500  2 Ge 2.80
Br 0.2500 0.5000 0.7500  2 Ge 2.80
Br 0.0000 0.2659 0.2659  1 Ge 2.62
Br 0.2500 0.7500 0.5000  2 Ge 2.80
Br 0.2659 0.0000 0.2659  1 Ge 2.62
Br 0.2659 0.2659 0.0000  1 Ge 2.62
Br 0.7341 0.0000 0.7341  1 Ge 2.62
Br 0.0000 0.7341 0.7341  1 Ge 2.62
Ge 0.5000 0.0000 0.5000  6 Br 2.62-2.80
Ge 0.0000 0.5000 0.5000  6 Br 2.62-2.80
Ge 0.5000 0.5000 0.0000  6 Br 2.62-2.80
Tl 0.5000 0.0000 0.0000  12 Br 3.96
Tl 0.0000 0.5000 0.0000  12 Br 3.96
Tl 0.0000 0.0000 0.5000  12 Br 3.96
Tl 0.5000 0.5000 0.5000  12 Br 3.96
K 0.0000 0.0000 0.0000  6 Br 2.98

Output
**Total magnetization**: 0.000 μB/cell
**VASP energy**: -2.9292 eV/atom
**N(E_F)**: 4.202 states/eV/f.u.
**SG**: Im-3m, No. 229
**Volume**: 35.02 Å³/atom

---

Entry 2:
The following is a DFT calculation (PBE-GGA) of KTmGeBr6 after structural relaxation.

Cell: 7.2750 7.2745 7.2825 Å, 90.00 89.99 59.98°
With the nearest neighbours (Å) after each atom.
Element x y z (fractional)
Br 0.0059 0.3666 0.2802  1 Tm 2.78, 1 Ge 2.83
Br 0.3666 0.0060 0.7198  1 Tm 2.78, 1 Ge 2.83
Br 0.0058 0.6275 0.7198  1 Tm 2.78, 1 Ge 2.83
Br 0.6275 0.0058 0.2802  1 Tm 2.78, 1 Ge 2.83
Br 0.6274 0.3667 0.7198  1 Tm 2.78, 1 Ge 2.83
Br 0.3666 0.6275 0.2803  1 Tm 2.78, 1 Ge 2.83
Ge 0.6667 0.6666 0.4999  6 Br 2.83
K 0.0000 0.0000 0.9999  6 Br 3.37-3.38
Tm 0.3333 0.3334 0.5000  6 Br 2.78

Output
**Total magnetization**: 0.000 μB/cell
**VASP energy**: -3.6745 eV/atom
**N(E_F)**: 0.000 states/eV/f.u.
**SG**: P312, No. 149
**Volume**: 37.08 Å³/atom

---

Entry 3:
The following is a DFT calculation (PBE-GGA) of KGeW2Br after structural relaxation.

Cell: 4.6972 5.6179 4.6972 Å, 90.00 90.00 90.00°
With the nearest neighbours (Å) after each atom.
Element x y z (fractional)
W 0.5000 0.0000 0.0000  2 Br 2.35
W 0.0000 0.0000 0.5000  2 Br 2.35
Br 0.0000 0.0000 0.0000  4 W 2.35
K 0.0000 0.5000 0.0000  2 Br 2.81
Ge 0.5000 0.5000 0.5000  4 K 3.32, 8 W 3.66

Output
**Total magnetization**: 0.000 μB/cell
**VASP energy**: -4.6846 eV/atom
**N(E_F)**: 5.921 states/eV/f.u.
**SG**: P4/mmm, No. 123
**Volume**: 24.79 Å³/atom

---

Entry 4:
The following is a DFT calculation (PBE-GGA) of KYGeBr6 after structural relaxation.

Cell: 7.3194 7.3194 14.5680 Å, 90.00 90.00 120.00°
With the nearest neighbours (Å) after each atom.
Element x y z (fractional)
Br 0.0017 0.3701 0.6391  1 Y 2.82, 1 Ge 2.83
Br 0.6316 0.0017 0.3609  1 Y 2.82, 1 Ge 2.83
Br 0.6299 0.9983 0.8609  1 Y 2.82, 1 Ge 2.83
Br 0.9983 0.6299 0.3609  1 Y 2.82, 1 Ge 2.83
Br 0.6316 0.6299 0.1391  1 Y 2.82, 1 Ge 2.83
Br 0.3701 0.3684 0.3609  1 Y 2.82, 1 Ge 2.83
Br 0.0017 0.6316 0.8609  1 Y 2.82, 1 Ge 2.83
Br 0.6299 0.6316 0.6391  1 Y 2.82, 1 Ge 2.83
Br 0.3701 0.0017 0.1391  1 Y 2.82, 1 Ge 2.83
Br 0.3684 0.3701 0.8609  1 Y 2.82, 1 Ge 2.83
Br 0.3684 0.9983 0.6391  1 Y 2.82, 1 Ge 2.83
Br 0.9983 0.3684 0.1391  1 Y 2.82, 1 Ge 2.83
K 0.0000 0.0000 0.0000  6 Br 3.38
K 0.0000 0.0000 0.5000  6 Br 3.38
Y 0.6667 0.3333 0.2500  6 Br 2.82
Y 0.3333 0.6667 0.7500  6 Br 2.82
Ge 0.3333 0.6667 0.2500  6 Br 2.83
Ge 0.6667 0.3333 0.7500  6 Br 2.83

Output
**Total magnetization**: 0.000 μB/cell
**VASP energy**: -3.9015 eV/atom
**N(E_F)**: 0.000 states/eV/f.u.
**SG**: P-31c, No. 163
**Volume**: 37.55 Å³/atom

---

Entry 5:
The following is a DFT calculation (PBE-GGA) of KZrGeBr2 after structural relaxation.

Cell: 5.2711 5.2711 8.5776 Å, 90.00 90.00 90.00°
With the nearest neighbours (Å) after each atom.
Element x y z (fractional)
Br 0.0000 0.5000 0.0000  2 Zr 2.64
Br 0.5000 0.0000 0.0000  2 Zr 2.64
K 0.0000 0.0000 0.5000  4 Ge 3.73
Zr 0.0000 0.0000 0.0000  4 Br 2.64
Ge 0.5000 0.5000 0.5000  4 K 3.73

Output
**Total magnetization**: 4.800 μB/cell
**VASP energy**: -3.4405 eV/atom
**N(E_F)**: 5.799 states/eV/f.u.
**SG**: P4/mmm, No. 123
**Volume**: 47.66 Å³/atom

---

Entry 6:
The following is a DFT calculation (PBE-GGA) of La3GeBr2 after structural relaxation.

Cell: 7.6108 7.6362 7.6168 Å, 80.41 60.03 70.51°
With the nearest neighbours (Å) after each atom.
Element x y z (fractional)
La 0.2690 0.2256 0.0000  2 Ge 2.98, 4 Br 3.08-3.25
La 0.9242 0.2277 0.6548  2 Ge 2.98-2.99, 4 Br 3.10-3.25
La 0.7310 0.7744 0.0000  2 Ge 2.98, 4 Br 3.08-3.25
La 0.0758 0.7723 0.3452  2 Ge 2.98-2.99, 4 Br 3.10-3.25
La 0.4210 0.7723 0.6548  2 Ge 2.98-2.99, 4 Br 3.10-3.25
La 0.5790 0.2277 0.3452  2 Ge 2.98-2.99, 4 Br 3.10-3.25
Br 0.0000 0.0000 0.0000  6 La 3.08-3.10
Br 0.1664 0.5000 0.6673  6 La 3.14-3.25
Br 0.5000 0.5000 0.0000  6 La 3.15-3.24
Br 0.8336 0.5000 0.3327  6 La 3.14-3.25
Ge 0.3334 0.0000 0.3333  6 La 2.98-2.99
Ge 0.6666 0.0000 0.6667  6 La 2.98-2.99

Output
**Total magnetization**: 0.001 μB/cell
**N(E_F)**: 3.593 states/eV/f.u.
**SG**: C2/m, No. 12
**Offset from the most stable computed form**: 0 meV per atom
**Volume**: 30.12 Å³/atom

---

> Which of these has the highest N(E_F)?

KGeW2Br